# 1
DFT (PBE-GGA) results for a relaxed structure of Na3BPd4.

a = 5.579 Å, b = 6.841 Å, c = 8.086 Å
α = 90.00°, β = 90.00°, γ = 90.00°
Space group Imm2 (No. 44)
One atom of each set of equivalent atoms:
Na1 0.000 0.000 0.000 (multiplicity 2)
Na2 0.000 0.253 0.651 (multiplicity 4)
B1 0.000 0.500 0.091 (multiplicity 2)
Pd1 0.000 0.303 0.278 (multiplicity 4)
Pd2 0.249 0.500 0.908 (multiplicity 4)

## Properties
- Crystal system: orthorhombic
- Formation energy: -0.167 eV/atom
- Calculated volume: 19.29 A^3/atom

=====

# 2
DFT (PBE-GGA) results for a relaxed structure of Y2Zr2Cu.

a = 7.255 Å, b = 7.255 Å, c = 4.922 Å
α = 90.00°, β = 90.00°, γ = 90.00°
Space group P4/mbm (No. 127)
One atom of each set of equivalent atoms:
Y1 0.155 0.345 0.000 (multiplicity 4)
Zr1 0.145 0.645 0.500 (multiplicity 4)
Cu1 0.000 0.000 0.000 (multiplicity 2)

## Properties
- Crystal system: tetragonal
- Formation energy: 0.394 eV/atom
- Calculated volume: 25.91 A^3/atom

=====

# 3
DFT (PBE-GGA) results for a relaxed structure of Ho4Ni2Ru.

a = 10.666 Å, b = 4.303 Å, c = 8.327 Å
α = 90.00°, β = 126.41°, γ = 90.00°
Space group C2/m (No. 12)
One atom of each set of equivalent atoms:
Ho1 0.084 0.000 0.376 (multiplicity 4)
Ho2 0.188 0.500 0.087 (multiplicity 4)
Ni1 0.139 0.500 0.647 (multiplicity 4)
Ru1 0.000 0.000 0.000 (multiplicity 2)

## Properties
- Crystal system: monoclinic
- Formation energy: -0.344 eV/atom
- Calculated volume: 21.97 A^3/atom

=====

# 4
DFT (PBE-GGA) results for a relaxed structure of RbGa10Ag2.

a = 5.597 Å, b = 13.351 Å, c = 14.189 Å
α = 90.00°, β = 90.00°, γ = 90.00°
Space group Fmmm (No. 69)
One atom of each set of equivalent atoms:
Rb1 0.000 0.000 0.000 (multiplicity 4)
Ga1 0.000 0.112 0.388 (multiplicity 16)
Ga2 0.000 0.179 0.181 (multiplicity 16)
Ga3 0.250 0.250 0.000 (multiplicity 8)
Ag1 0.250 0.000 0.250 (multiplicity 8)

## Properties
- Crystal system: orthorhombic
- Formation energy: -0.004 eV/atom
- Calculated volume: 20.39 A^3/atom

=====

E_tot / Ha/atom: -0.15041, -0.23629, -0.21818, -0.10456